VASP calculation (PBE) on a geometry-optimized NaSr2Tl4Hg2 structure.

Symmetry: P-1 (2)

The structure in extended XYZ format:
```
9
Lattice="6.657 0.000 0.000 -2.918 6.064 0.000 -2.413 -2.141 6.926" Properties=species:S:1:pos:R:3 pbc="T T T"
Na 0.000 0.000 0.000
Sr 0.429 4.262 1.270
Sr 0.898 -0.338 5.656
Tl -3.533 2.378 4.991
Tl -0.343 2.773 4.576
Tl 1.670 1.151 2.350
Tl 4.859 1.546 1.935
Hg -2.949 4.387 2.540
Hg 4.276 -0.463 4.385
```

VASP calculation (PBE) on a geometry-optimized NaSr2TlHg4 structure.

Symmetry: R-3m (166)

The structure in extended XYZ format:
```
8
Lattice="2.722 1.571 9.016 -2.722 1.571 9.016 0.000 -3.143 9.016" Properties=species:S:1:pos:R:3 pbc="T T T"
Na 0.000 0.000 0.000
Sr 0.000 0.000 6.622
Sr 0.000 0.000 20.428
Tl 0.000 0.000 13.525
Hg 0.000 0.000 3.241
Hg 0.000 0.000 10.037
Hg 0.000 0.000 17.013
Hg 0.000 0.000 23.809
```

VASP calculation (PBE) on a geometry-optimized Na2SrTlHg4 structure.

Symmetry: R-3m (166)

The structure in extended XYZ format:
```
8
Lattice="2.627 1.517 9.486 -2.627 1.517 9.486 0.000 -3.034 9.486" Properties=species:S:1:pos:R:3 pbc="T T T"
Na 0.000 0.000 6.780
Na 0.000 0.000 21.678
Sr 0.000 0.000 0.000
Tl 0.000 0.000 14.229
Hg 0.000 0.000 3.367
Hg 0.000 0.000 10.911
Hg 0.000 0.000 17.547
Hg 0.000 0.000 25.091
```

VASP calculation (PBE) on a geometry-optimized NaSrTlHg structure.

Symmetry: F-43m (216)

The structure in extended XYZ format:
```
4
Lattice="0.000 3.920 3.920 3.920 0.000 3.920 3.920 3.920 0.000" Properties=species:S:1:pos:R:3 pbc="T T T"
Na 0.000 0.000 0.000
Sr 3.920 3.920 3.920
Tl 1.960 1.960 1.960
Hg 5.879 5.879 5.879
```

VASP calculation (PBE) on a geometry-optimized NaSrY2Hg4 structure.

Symmetry: R-3m (166)

The structure in extended XYZ format:
```
8
Lattice="2.641 1.525 8.892 -2.641 1.525 8.892 0.000 -3.050 8.892" Properties=species:S:1:pos:R:3 pbc="T T T"
Na 0.000 0.000 0.000
Sr 0.000 0.000 13.338
Y 0.000 0.000 6.826
Y 0.000 0.000 19.850
Hg 0.000 0.000 3.134
Hg 0.000 0.000 9.974
Hg 0.000 0.000 16.701
Hg 0.000 0.000 23.542
```

VASP calculation (PBE) on a geometry-optimized NaTaHg structure.

ΔE to the lowest computed polymorph (meV/atom): 471
Symmetry: P4/nmm (129)

The structure in extended XYZ format:
```
6
Lattice="3.789 0.000 0.000 0.000 3.789 0.000 0.000 0.000 11.086" Properties=species:S:1:pos:R:3 pbc="T T T"
Na 0.947 0.947 2.753
Na 2.842 2.842 8.333
Ta 0.947 0.947 10.646
Ta 2.842 2.842 0.440
Hg 0.947 2.842 5.543
Hg 2.842 0.947 5.543
```

VASP calculation (PBE) on a geometry-optimized NaTaHg structure.

ΔE to the lowest computed polymorph (meV/atom): 13
Symmetry: Cm (8)

The structure in extended XYZ format:
```
6
Lattice="2.401 -1.775 0.000 2.401 1.775 0.000 -0.040 0.000 15.378" Properties=species:S:1:pos:R:3 pbc="T T T"
Na 0.000 0.000 0.000
Na -0.021 0.000 10.000
Ta 2.367 0.000 7.135
Ta 4.768 0.000 5.046
Hg 2.376 0.000 2.595
Hg 2.411 0.000 12.700
```

VASP calculation (PBE) on a geometry-optimized NaTaHg3 structure.

ΔE to the lowest computed polymorph (meV/atom): 0
Symmetry: Pm-3m (221)

The structure in extended XYZ format:
```
5
Lattice="5.434 0.000 0.000 0.000 5.434 0.000 0.000 0.000 5.434" Properties=species:S:1:pos:R:3 pbc="T T T"
Na 0.000 0.000 0.000
Ta 2.717 2.717 2.717
Hg 0.000 2.717 2.717
Hg 2.717 0.000 2.717
Hg 2.717 2.717 0.000
```

| no. | total magnetic moment (μB per formula unit) | calculated formation energy (eV per atom) | density of states at the Fermi level (states/eV/cell) |
| --- | --- | --- | --- |
| 1 | 0.0 | -0.232 | 5.562 |
| 2 | 0.0 | -0.387 | 4.313 |
| 3 | 0.0 | -0.284 | 3.461 |
| 4 | 0.0 | -0.298 | 2.846 |
| 5 | 0.0 | -0.395 | 5.154 |
| 6 | 0.0 | 0.626 | 3.712 |
| 7 | 0.0 | 0.168 | 3.532 |
| 8 | 0.0 | 0.563 | 6.541 |